VASP calculation (PBE-GGA) on a relaxed structure of K3Th2AgS6.

For the raw total energy, the calculation gives -128.0 eV per cell. As for the raw formation energy: -1.52 eV per atom.

It has space group C2/m (No. 12), with a = 7.193 Å, b = 12.558 Å, c = 7.737 Å, α = 90.00°, β = 107.54° and γ = 90.00°. The inequivalent atoms are K at (0.000, 0.000, 0.000), K at (0.000, 0.343, 0.000), Th at (0.000, 0.168, 0.500), Ag at (0.000, 0.500, 0.500), S at (0.221, 0.000, 0.703) and S at (0.247, 0.322, 0.711).